DFT (PBE) results for a relaxed structure of Hf5PaN6.

Structure (POSCAR):
```
Hf5PaN6
1.0
2.8269 -4.8977 0.0000
2.8269 4.8977 0.0000
-1.8732 0.0000 5.3289
Hf Pa N
5 1 6
Direct
0.0000 0.0000 0.0000
0.1676 0.8324 0.5000
0.3296 0.6704 0.0000
0.6704 0.3296 0.0000
0.8324 0.1676 0.5000
0.5000 0.5000 0.5000
0.0734 0.4144 0.2423
0.2441 0.2441 0.7562
0.4144 0.0734 0.2423
0.5856 0.9266 0.7577
0.7559 0.7559 0.2438
0.9266 0.5856 0.7577
```

Properties
**SG**: C2/m (12)
**Uncorrected formation energy**: -1.7049 eV per atom
**Total moment**: 0.0 Bohr magnetons per cell